[1]
{
  "formula": "Na2GaH4",
  "functional": "PBE",
  "state": "relaxed",
  "dos_ef_per_ev_cell": 0.714,
  "sg": "No. 12",
  "total_energy_ry_per_atom": -0.1954,
  "cell": [[-1.4034, -2.8858, -0.1135], [4.0521, -2.1209, 3.8205], [-4.6446, 4.0130, 0.8149]],
  "species": ["Ga", "H", "H", "Na", "H", "H", "Na"],
  "fractional_positions": [[0.0000, 0.0000, 0.0000], [0.0921, 0.8128, 0.1842], [0.3813, 0.7756, 0.7627], [0.3315, 0.3307, 0.6630], [0.9079, 0.1872, 0.8158], [0.6187, 0.2244, 0.2373], [0.6685, 0.6693, 0.3370]]
}



[2]
{
  "formula": "NaGaH",
  "functional": "PBE",
  "state": "relaxed",
  "dos_ef_per_ev_cell": 0.987,
  "sg": "No. 107",
  "total_energy_ry_per_atom": -0.1862,
  "cell": [[3.0901, 0.0000, 0.0000], [0.0000, 3.0901, 0.0000], [-1.5451, -1.5451, 5.3705]],
  "species": ["Na", "H", "Ga"],
  "fractional_positions": [[0.3790, 0.3790, 0.7581], [0.8200, 0.8200, 0.6400], [0.6509, 0.6509, 0.3019]]
}



[3]
{
  "formula": "Na3GaH6",
  "functional": "PBE",
  "state": "relaxed",
  "dos_ef_per_ev_cell": 0.000,
  "sg": "No. 36",
  "total_energy_ry_per_atom": -0.2074,
  "cell": [[5.9811, 0.0000, 0.0000], [0.0000, 6.9113, -1.0710], [0.0000, 0.2365, 6.9898]],
  "species": ["H", "H", "H", "H", "H", "Na", "H", "H", "H", "Ga", "Na", "H", "H", "Ga", "Na", "Na", "H", "Na", "Na", "H"],
  "fractional_positions": [[0.0968, 0.3517, 0.9322], [0.2129, 0.7834, 0.2166], [0.7885, 0.6797, 0.6519], [0.0968, 0.0678, 0.6483], [0.2885, 0.3203, 0.3481], [0.0186, 0.1141, 0.3183], [0.7129, 0.2166, 0.7834], [0.7885, 0.3481, 0.3203], [0.4475, 0.9884, 0.0116], [0.9696, 0.1644, 0.8356], [0.5186, 0.8859, 0.6817], [0.5968, 0.6483, 0.0678], [0.2885, 0.6519, 0.6797], [0.4696, 0.8356, 0.1644], [0.0186, 0.6817, 0.8859], [0.0475, 0.5654, 0.4346], [0.5968, 0.9322, 0.3517], [0.5475, 0.4346, 0.5654], [0.5186, 0.3183, 0.1141], [0.9475, 0.0116, 0.9884]]
}



[4]
{
  "formula": "NaGaH3",
  "functional": "PBE",
  "state": "relaxed",
  "dos_ef_per_ev_cell": 0.000,
  "sg": "No. 1",
  "total_energy_ry_per_atom": -0.2142,
  "cell": [[-0.6085, -3.3745, 3.1115], [4.9605, -0.6376, -0.1716], [2.6638, 4.9160, 3.2832]],
  "species": ["H", "Ga", "Na", "H", "H", "H", "Ga", "H", "H", "Na"],
  "fractional_positions": [[0.7490, 0.6482, 0.5505], [0.5335, 0.5992, 0.7125], [0.6099, 0.8295, 0.1678], [0.8876, 0.1818, 0.3097], [0.6863, 0.3532, 0.9372], [0.2132, 0.5062, 0.6051], [0.0938, 0.3664, 0.1267], [0.1256, 0.0706, 0.0496], [0.5172, 0.8919, 0.7680], [0.0074, 0.0749, 0.6839]]
}



[5]
{
  "formula": "Na2GaH5",
  "functional": "PBE",
  "state": "relaxed",
  "dos_ef_per_ev_cell": 0.000,
  "sg": "No. 15",
  "total_energy_ry_per_atom": -0.2150,
  "cell": [[-3.8013, 3.2513, 3.4871], [-4.5003, -0.9716, -3.9980], [-5.7626, -4.0433, 2.8193]],
  "species": ["Na", "H", "Na", "H", "H", "H", "H", "Ga", "H", "H", "H", "H", "Na", "Ga", "Na", "H"],
  "fractional_positions": [[0.5000, 0.0000, 0.0000], [0.6248, 0.3752, 0.7500], [0.5000, 0.5000, 0.0000], [0.8023, 0.8355, 0.3949], [0.1645, 0.1977, 0.1051], [0.1977, 0.1645, 0.6051], [0.8006, 0.2647, 0.3981], [0.8755, 0.1245, 0.2500], [0.2647, 0.8006, 0.8981], [0.8355, 0.8023, 0.8949], [0.1994, 0.7353, 0.6019], [0.3752, 0.6248, 0.2500], [0.0000, 0.5000, 0.5000], [0.1245, 0.8755, 0.7500], [0.5000, 0.5000, 0.5000], [0.7353, 0.1994, 0.1019]]
}



[6]
{
  "formula": "NaGa2H2",
  "functional": "PBE",
  "state": "relaxed",
  "dos_ef_per_ev_cell": 1.597,
  "sg": "No. 127",
  "total_energy_ry_per_atom": -0.1967,
  "cell": [[5.8493, 0.0000, 0.0000], [0.0000, 5.8493, 0.0000], [0.0000, 0.0000, 4.0043]],
  "species": ["Ga", "Na", "H", "Ga", "H", "Ga", "H", "H", "Ga", "Na"],
  "fractional_positions": [[0.6610, 0.8390, 0.5000], [0.5000, 0.5000, 0.0000], [0.3357, 0.1643, 0.0000], [0.3390, 0.1610, 0.5000], [0.8357, 0.3357, 0.0000], [0.1610, 0.6610, 0.5000], [0.6643, 0.8357, 0.0000], [0.1643, 0.6643, 0.0000], [0.8390, 0.3390, 0.5000], [0.0000, 0.0000, 0.0000]]
}



[7]
{
  "formula": "NaGaH3",
  "functional": "PBE",
  "state": "relaxed",
  "dos_ef_per_ev_cell": 1.823,
  "sg": "No. 221",
  "total_energy_ry_per_atom": -0.1621,
  "cell": [[3.9162, 0.0000, 0.0000], [0.0000, 3.9162, 0.0000], [0.0000, 0.0000, 3.9162]],
  "species": ["H", "H", "H", "Na", "Ga"],
  "fractional_positions": [[0.0000, 0.5000, 0.0000], [0.5000, 0.0000, 0.0000], [0.0000, 0.0000, 0.5000], [0.0000, 0.0000, 0.0000], [0.5000, 0.5000, 0.5000]]
}



[8]
{
  "formula": "NaGaH",
  "functional": "PBE",
  "state": "relaxed",
  "dos_ef_per_ev_cell": 1.131,
  "sg": "No. 62",
  "total_energy_ry_per_atom": -0.1942,
  "cell": [[4.4104, 0.0000, 0.0000], [0.0000, 6.2123, 0.0000], [0.0000, 0.0000, 8.3556]],
  "species": ["Na", "Na", "H", "H", "Ga", "H", "Na", "Ga", "H", "Ga", "Na", "Ga"],
  "fractional_positions": [[0.2500, 0.4019, 0.6567], [0.7500, 0.5981, 0.3433], [0.7500, 0.3308, 0.5323], [0.7500, 0.8308, 0.9677], [0.2500, 0.9390, 0.4575], [0.2500, 0.6692, 0.4677], [0.7500, 0.0981, 0.1567], [0.7500, 0.0610, 0.5425], [0.2500, 0.1693, 0.0323], [0.2500, 0.4390, 0.0425], [0.2500, 0.9019, 0.8433], [0.7500, 0.5610, 0.9575]]
}



[9]
{
  "formula": "Na2Ga2H7",
  "functional": "PBE",
  "state": "relaxed",
  "dos_ef_per_ev_cell": 2.249,
  "sg": "No. 12",
  "total_energy_ry_per_atom": -0.2155,
  "cell": [[-3.9778, 1.6753, 1.6345], [-0.6177, -5.5864, 1.2650], [3.5614, 1.3549, 4.3209]],
  "species": ["H", "Na", "H", "H", "H", "H", "Ga", "H", "H", "Ga", "Na"],
  "fractional_positions": [[0.5000, 0.0000, 0.0000], [0.0000, 0.2903, 0.7097], [0.7749, 0.5925, 0.8969], [0.2251, 0.4075, 0.1031], [0.7241, 0.3752, 0.3752], [0.2251, 0.1031, 0.4075], [0.5927, 0.7804, 0.7804], [0.2759, 0.6248, 0.6248], [0.7749, 0.8969, 0.5925], [0.4073, 0.2196, 0.2196], [0.0000, 0.7097, 0.2903]]
}



[10]
{
  "formula": "NaGaHO3",
  "functional": "PBE",
  "state": "relaxed",
  "dos_ef_per_ev_cell": 6.122,
  "sg": "No. 11",
  "total_energy_ry_per_atom": -0.3706,
  "cell": [[3.0957, 0.0000, 0.0000], [0.0000, 8.0038, 0.3358], [0.0000, -3.3600, 5.2235]],
  "species": ["O", "O", "H", "O", "O", "Na", "Ga", "O", "Ga", "O", "H", "Na"],
  "fractional_positions": [[0.2500, 0.8086, 0.5706], [0.7500, 0.8137, 0.1716], [0.7500, 0.0457, 0.3492], [0.2500, 0.4999, 0.8174], [0.7500, 0.1914, 0.4294], [0.2500, 0.2949, 0.2549], [0.7500, 0.3218, 0.7921], [0.7500, 0.5001, 0.1826], [0.2500, 0.6782, 0.2079], [0.2500, 0.1863, 0.8284], [0.2500, 0.9543, 0.6508], [0.7500, 0.7051, 0.7451]]
}



[11]
{
  "formula": "Na5Ga7H12S13O6",
  "functional": "PBE",
  "state": "relaxed",
  "dos_ef_per_ev_cell": 0.000,
  "sg": "No. 219",
  "total_energy_ry_per_atom": -0.3317,
  "cell": [[12.5346, 0.0000, 0.0000], [6.2673, 10.8553, 0.0000], [6.2673, 3.6184, 10.2345]],
  "species": ["S", "H", "H", "S", "O", "H", "Na", "H", "Ga", "Ga", "S", "Na", "Ga", "H", "H", "H", "Ga", "H", "Ga", "S", "S", "Ga", "H", "Ga", "Ga", "S", "H", "H", "O", "S", "H", "Na", "H", "S", "S", "O", "S", "O", "H", "O", "O", "Ga", "H", "S", "S", "H", "Na", "S", "H", "S", "S", "S", "Na", "Na", "Ga", "H", "S", "S", "Ga", "S", "Ga", "S", "Na", "H", "H", "S", "O", "O", "O", "O", "H", "Na", "S", "S", "S", "O", "H", "S", "Na", "H", "Ga", "O", "Na", "Ga", "H", "S"],
  "fractional_positions": [[0.9684, 0.5522, 0.3113], [0.6542, 0.3933, 0.2705], [0.7705, 0.1819, 0.8933], [0.1681, 0.9684, 0.3113], [0.1341, 0.8659, 0.1341], [0.2705, 0.6542, 0.3933], [0.3943, 0.3943, 0.8171], [0.6819, 0.6542, 0.2705], [0.0000, 0.0000, 0.5000], [0.1710, 0.1710, 0.4869], [0.7500, 0.7500, 0.7500], [0.5000, 0.5000, 0.5000], [0.4869, 0.1710, 0.1710], [0.7705, 0.1542, 0.1819], [0.3933, 0.2705, 0.6542], [0.1542, 0.8933, 0.1819], [0.5000, 0.5000, 0.0000], [0.3933, 0.6542, 0.6819], [0.9869, 0.6710, 0.6710], [0.4684, 0.6681, 0.8113], [0.4684, 0.0522, 0.6681], [0.5000, 0.0000, 0.0000], [0.3933, 0.6819, 0.2705], [0.6710, 0.6710, 0.6710], [0.5000, 0.0000, 0.5000], [0.5522, 0.3113, 0.9684], [0.1819, 0.7705, 0.1542], [0.1542, 0.1819, 0.7705], [0.3659, 0.6341, 0.3659], [0.2500, 0.2500, 0.2500], [0.7705, 0.8933, 0.1542], [0.8943, 0.8943, 0.8943], [0.1819, 0.8933, 0.7705], [0.5522, 0.9684, 0.1681], [0.0522, 0.6681, 0.4684], [0.1341, 0.8659, 0.8659], [0.9684, 0.3113, 0.1681], [0.6341, 0.3659, 0.6341], [0.6542, 0.6819, 0.3933], [0.6341, 0.6341, 0.3659], [0.1341, 0.1341, 0.8659], [0.6710, 0.9869, 0.6710], [0.1542, 0.7705, 0.8933], [0.5522, 0.1681, 0.3113], [0.1681, 0.3113, 0.5522], [0.8933, 0.1542, 0.7705], [0.3943, 0.8171, 0.3943], [0.3113, 0.5522, 0.1681], [0.8933, 0.1819, 0.1542], [0.1681, 0.5522, 0.9684], [0.9684, 0.1681, 0.5522], [0.3113, 0.9684, 0.5522], [0.8171, 0.3943, 0.3943], [0.0000, 0.0000, 0.0000], [0.6710, 0.6710, 0.9869], [0.2705, 0.6819, 0.6542], [0.8113, 0.0522, 0.4684], [0.0522, 0.8113, 0.6681], [0.0000, 0.5000, 0.5000], [0.8113, 0.4684, 0.6681], [0.0000, 0.5000, 0.0000], [0.6681, 0.4684, 0.0522], [0.3943, 0.3943, 0.3943], [0.1819, 0.1542, 0.8933], [0.8933, 0.7705, 0.1819], [0.8113, 0.6681, 0.0522], [0.6341, 0.3659, 0.3659], [0.3659, 0.3659, 0.6341], [0.3659, 0.6341, 0.6341], [0.8659, 0.8659, 0.1341], [0.6542, 0.2705, 0.6819], [0.3171, 0.8943, 0.8943], [0.6681, 0.8113, 0.4684], [0.6681, 0.0522, 0.8113], [0.3113, 0.1681, 0.9684], [0.8659, 0.1341, 0.1341], [0.2705, 0.3933, 0.6819], [0.4684, 0.8113, 0.0522], [0.8943, 0.8943, 0.3171], [0.6819, 0.2705, 0.3933], [0.1710, 0.4869, 0.1710], [0.8659, 0.1341, 0.8659], [0.8943, 0.3171, 0.8943], [0.1710, 0.1710, 0.1710], [0.6819, 0.3933, 0.6542], [0.0522, 0.4684, 0.8113]]
}



[12]
{
  "formula": "NaGaPH",
  "functional": "PBE",
  "state": "relaxed",
  "dos_ef_per_ev_cell": 0.000,
  "sg": "No. 186",
  "total_energy_ry_per_atom": -0.2675,
  "cell": [[3.8589, 0.0000, 0.0000], [-1.9295, 3.3419, 0.0000], [0.0000, 0.0000, 10.8525]],
  "species": ["P", "P", "Na", "H", "Na", "Ga", "Ga", "H"],
  "fractional_positions": [[0.6667, 0.3333, 0.7321], [0.3333, 0.6667, 0.2321], [0.3333, 0.6667, 0.9214], [0.0000, 0.0000, 0.0032], [0.6667, 0.3333, 0.4214], [0.0000, 0.0000, 0.6556], [0.0000, 0.0000, 0.1556], [0.0000, 0.0000, 0.5032]]
}